A relaxed CdAg2BO crystal. Source: Alexandria, functional PBE-GGA.

Cell: 5.356 3.983 5.356 Å, 90.00 90.00 90.00°
Element x y z (fractional)
B 0.500 0.500 0.500
O 0.000 0.500 0.000
Ag 0.000 0.000 0.500
Ag 0.500 0.000 0.000
Cd 0.000 0.000 0.000

Summary:
Formation energy (no corrections): 1.2842 eV/atom
Symmetry: P4/mmm (123)
Fermi-level density of states: 2.7 states/eV/cell
Crystal system: tetragonal
Spin magnetization: 0.00 μB per atom